DFT (PBE) results for a relaxed structure of TaTi8Nb6.

```
TaTi8Nb6
1.0
3.662 2.114 5.771
-3.662 2.114 5.771
0.000 -4.228 5.771
Ta Ti Nb
1 8 6
Cartesian
0.000 0.000 0.000
-1.990 -1.778 9.265
-2.535 0.835 8.049
0.545 -2.613 8.049
0.000 0.000 7.273
0.000 0.000 10.041
-0.545 2.613 9.265
2.535 -0.835 9.265
1.990 1.778 8.049
-1.711 0.105 5.030
0.764 -1.534 5.030
-0.946 -1.429 12.284
0.946 1.429 5.030
-0.764 1.534 12.284
1.711 -0.105 12.284
```

Values from the calculation:
* raw total energy: -8.97 eV/atom
* SG: R-3, No. 148